(1)
The following is a DFT calculation (GGA-PBEsol) of a relaxed structure of TeOsPb2.

As for the formation energy from raw total energies: 0.793 eV per atom. Its size of the total moment is 0.00 μB per formula unit.

Lattice parameters (Å, degrees): 5.001 5.001 7.212 90.00 90.00 90.00
Atoms (fractional coordinates):
Te  0.000  0.000  0.000
Te  0.500  0.500  0.500
Os  0.000  0.500  0.250
Os  0.500  0.000  0.750
Pb  0.000  0.000  0.500
Pb  0.000  0.500  0.750
Pb  0.500  0.000  0.250
Pb  0.500  0.500  0.000

(2)
The following is a DFT calculation (GGA-PBEsol) of a relaxed structure of BaTlSCl2.

As for the formation energy from raw total energies: -1.217 eV per atom. Its size of the total moment is 0.00 μB per formula unit.

Lattice parameters (Å, degrees): 5.407 5.407 5.173 90.00 90.00 90.00
Atoms (fractional coordinates):
Ba  0.000  0.000  0.000
Tl  0.500  0.500  0.500
S  0.500  0.500  0.000
Cl  0.000  0.500  0.500
Cl  0.500  0.000  0.500

(3)
The following is a DFT calculation (GGA-PBEsol) of a relaxed structure of HfTiMo2.

The formation energy comes out at 0.01 eV per atom. Its size of the total moment is 0.00 μB per formula unit.

Lattice parameters (Å, degrees): 6.400 6.400 6.400 90.00 90.00 90.00
Atoms (fractional coordinates):
Hf  0.000  0.000  0.000
Hf  0.000  0.500  0.500
Hf  0.500  0.000  0.500
Hf  0.500  0.500  0.000
Ti  0.000  0.000  0.500
Ti  0.000  0.500  0.000
Ti  0.500  0.000  0.000
Ti  0.500  0.500  0.500
Mo  0.250  0.250  0.250
Mo  0.250  0.250  0.750
Mo  0.250  0.750  0.250
Mo  0.250  0.750  0.750
Mo  0.750  0.250  0.250
Mo  0.750  0.250  0.750
Mo  0.750  0.750  0.250
Mo  0.750  0.750  0.750